(1)
# Ag2AsO

Crystalline Ag2AsO at its relaxed geometry (GGA-PBEsol, the Alexandria database).

POSCAR file:
```
Ag2AsO
1.0
6.6876 0.0000 0.0000
0.0000 6.6876 0.0000
0.0000 0.0000 5.3437
Ag As O
8 4 4
Direct
0.2075 0.7500 0.1250
0.2500 0.2075 0.8750
0.2500 0.2925 0.3750
0.2925 0.7500 0.6250
0.7075 0.2500 0.6250
0.7500 0.7075 0.3750
0.7500 0.7925 0.8750
0.7925 0.2500 0.1250
0.0000 0.0000 0.5000
0.0000 0.5000 0.7500
0.5000 0.0000 0.2500
0.5000 0.5000 0.0000
0.0000 0.0000 0.0000
0.0000 0.5000 0.2500
0.5000 0.0000 0.7500
0.5000 0.5000 0.5000
```

Electronic total energy: -4.11 eV/atom
Formation energy from raw total energies: 52 kJ/mol of formula units

=====

(2)
# LiCd2Ag

Crystalline LiCd2Ag at its relaxed geometry (GGA-PBEsol, the Alexandria database).

POSCAR file:
```
LiCd2Ag
1.0
3.2498 0.0000 0.0000
0.0000 3.2498 0.0000
0.0000 0.0000 6.6633
Li Cd Ag
1 2 1
Direct
0.0000 0.0000 0.0000
0.0000 0.0000 0.4642
0.5000 0.5000 0.7610
0.5000 0.5000 0.2062
```

Electronic total energy: -2.09 eV/atom
Polymorph energy (0 for the lowest one): 54 meV per atom
Energy relative to the elements: -169 meV per atom